Y2Tm4Tl3H2, relaxed, DFT PBE; density = 9.11 g cm⁻³; density of states at the Fermi level = 8.02 states/eV per cell; final energy = -4.34 eV per atom
1.0
-2.3493 2.3493 12.1204
2.3493 -2.3493 12.1204
2.3493 2.3493 -12.1204
Y Tm Tl H
2 4 3 2
Direct
0.1964 0.1964 0.0000 Y
0.8036 0.8036 0.0000 Y
0.0834 0.5834 0.5000 Tm
0.4166 0.9166 0.5000 Tm
0.5834 0.0834 0.5000 Tm
0.9166 0.4166 0.5000 Tm
0.3267 0.3267 0.0000 Tl
0.5000 0.5000 0.0000 Tl
0.6733 0.6733 0.0000 Tl
0.0998 0.0998 0.0000 H
0.9002 0.9002 0.0000 H